NbV2GeI | PBE | optimized geometry

Properties
raw total energy = -5.08 eV per atom
spin magnetization = 2.63 μB per formula unit
raw formation energy = 1.81 eV per atom

CIF file:
```
data_NbV2GeI
_space_group_name_H-M_alt 'P 4/m m m'
_space_group_IT_number 123
_space_group_name_Hall '-P 4 2'
_cell_length_a 4.826
_cell_length_b 4.826
_cell_length_c 5.335
_cell_angle_alpha 90.00
_cell_angle_beta 90.00
_cell_angle_gamma 90.00
loop_
_atom_site_label
_atom_site_type_symbol
_atom_site_fract_x
_atom_site_fract_y
_atom_site_fract_z
Nb1 Nb 0.000 0.000 0.000
V1 V 0.000 0.500 0.500
Ge1 Ge 0.500 0.500 0.000
I1 I 0.500 0.500 0.500
```